# 1
TaCuIr4: relaxed, GGA-PBE.

Calculated values
E_form (meV per atom): 49
M_tot (μB/atom): 0.0000

Unit cell a=7.256 b=7.256 c=7.256 alpha=90.00 beta=90.00 gamma=90.00
Space group F-43m (No. 216)
Inequivalent atoms, fractional coordinates:
Ta: 0.000 0.000 0.000
Cu: 0.250 0.250 0.250
Ir: 0.125 0.125 0.625

# 2
TaCuIr2: relaxed, GGA-PBE.

Calculated values
Excess energy over the best structure of this formula in the dataset (eV per atom): 0.349
E_form (meV per atom): -95
M_tot (μB/atom): 0.0000

Unit cell a=3.328 b=3.328 c=5.508 alpha=90.00 beta=90.00 gamma=90.00
Space group P4mm (No. 99)
Inequivalent atoms, fractional coordinates:
Ta: 0.000 0.000 0.000
Cu: 0.500 0.500 0.260
Ir: 0.000 0.000 0.460
Ir: 0.500 0.500 0.771

# 3
TaCuIr2: relaxed, GGA-PBE.

Calculated values
Excess energy over the best structure of this formula in the dataset (eV per atom): 0.048
E_form (meV per atom): -395
M_tot (μB/atom): 0.0000

Unit cell a=6.198 b=6.198 c=6.198 alpha=90.00 beta=90.00 gamma=90.00
Space group Fm-3m (No. 225)
Inequivalent atoms, fractional coordinates:
Ta: 0.000 0.000 0.000
Cu: 0.000 0.000 0.500
Ir: 0.250 0.250 0.250

# 4
Ta2CuIr2: relaxed, GGA-PBE.

Calculated values
Excess energy over the best structure of this formula in the dataset (eV per atom): 0.000
E_form (meV per atom): -283
M_tot (μB/atom): 0.0000

Unit cell a=7.568 b=7.568 c=2.947 alpha=90.00 beta=90.00 gamma=90.00
Space group P4/mbm (No. 127)
Inequivalent atoms, fractional coordinates:
Ta: 0.163 0.337 0.000
Cu: 0.000 0.000 0.500
Ir: 0.135 0.635 0.500

# 5
TaCu4Ir: relaxed, GGA-PBE.

Calculated values
E_form (meV per atom): -124
M_tot (μB/atom): 0.0000

Unit cell a=6.774 b=6.774 c=6.774 alpha=90.00 beta=90.00 gamma=90.00
Space group F-43m (No. 216)
Inequivalent atoms, fractional coordinates:
Ta: 0.000 0.000 0.000
Cu: 0.125 0.125 0.625
Ir: 0.250 0.250 0.250

# 6
TaCuIr2: relaxed, GGA-PBE.

Calculated values
Excess energy over the best structure of this formula in the dataset (eV per atom): 0.000
E_form (meV per atom): -443
M_tot (μB/atom): 0.0000

Unit cell a=5.674 b=5.682 c=7.340 alpha=90.00 beta=90.00 gamma=90.00
Space group Fmmm (No. 69)
Inequivalent atoms, fractional coordinates:
Ta: 0.000 0.000 0.000
Cu: 0.000 0.000 0.500
Ir: 0.250 0.250 0.250

# 7
TaCuIr2: relaxed, GGA-PBE.

Calculated values
Excess energy over the best structure of this formula in the dataset (eV per atom): 0.504
E_form (meV per atom): 61
M_tot (μB/atom): 0.0838

Unit cell a=2.7731 b=2.7731 c=27.0597 alpha=90.00 beta=90.00 gamma=120.00
Space group R3m (No. 160, hexagonal axes)
Inequivalent atoms, fractional coordinates:
Ta: 0.0000 0.0000 0.0000
Cu: 0.0000 0.0000 0.7522
Ir: 0.0000 0.0000 0.2480
Ir: 0.0000 0.0000 0.4981

# 8
Ta2CuTeIr: relaxed, GGA-PBE.

Calculated values
Formation energy (no corrections) (meV/atom): 1131
M_tot (μB/atom): 0.0000

Unit cell a=4.645 b=4.645 c=4.629 alpha=90.00 beta=90.00 gamma=90.00
Space group P4/mmm (No. 123)
Inequivalent atoms, fractional coordinates:
Ta: 0.000 0.500 0.000
Cu: 0.000 0.000 0.000
Te: 0.500 0.500 0.500
Ir: 0.000 0.000 0.500